i.
Below is an optimized crystal structure of Dy3Ho5Sc2, with properties calculated at the PBE level.

Cell and atoms, written as POSCAR:
```
Dy3Ho5Sc2
1.0
-4.532 10.691 3.323
4.532 -10.691 3.323
4.532 10.691 -3.323
Dy Ho Sc
6 10 4
Cartesian
2.248 2.676 0.000
0.000 0.000 1.661
2.248 -2.676 3.323
2.284 13.367 0.000
0.000 0.000 4.984
2.284 8.016 3.323
4.532 5.501 -1.661
5.463 2.774 0.000
4.532 0.000 1.661
0.931 7.917 0.000
0.000 5.190 1.661
4.532 5.501 1.661
3.601 2.774 3.323
0.000 10.691 1.661
-0.931 7.917 3.323
0.000 5.190 4.984
3.775 -8.112 3.323
3.775 8.112 0.000
0.757 2.579 3.323
0.757 18.803 0.000
```

=====

ii.
Below is an optimized crystal structure of Dy3Ho5Sc2, with properties calculated at the PBE level.

Cell and atoms, written as POSCAR:
```
Dy3Ho5Sc2
1.0
9.189 0.000 0.000
-3.928 8.308 0.000
-2.626 -4.156 7.779
Dy Ho Sc
6 10 4
Cartesian
-0.985 -0.808 2.720
-1.621 2.489 3.519
-0.955 4.996 1.167
3.589 -0.844 6.612
4.255 1.663 4.260
3.619 4.960 5.058
-0.337 1.669 0.400
-2.277 0.021 5.835
-2.300 5.822 4.291
2.316 0.028 1.943
0.339 -1.675 7.409
2.295 5.827 0.370
0.318 4.124 5.835
4.934 -1.670 3.488
4.911 4.131 1.944
2.971 2.483 7.378
-2.933 3.340 6.626
0.998 0.846 5.045
1.636 3.306 2.733
5.567 0.812 1.153
```

=====

On energetic grounds, ii is preferred over the next structure by 351 meV/atom.

=====

i.
Below is an optimized crystal structure of DyHo6Sc2, with properties calculated at the PBE level.

Cell and atoms, written as POSCAR:
```
DyHo6Sc2
1.0
6.650 -6.437 0.000
6.650 6.437 0.000
-1.597 0.000 6.285
Dy Ho Sc
2 12 4
Cartesian
5.453 4.631 4.714
6.251 -4.631 1.571
0.304 1.106 5.137
2.981 2.649 1.659
1.102 -1.106 1.995
6.297 1.864 0.007
6.205 1.864 3.136
2.182 -2.649 4.801
9.521 2.649 1.484
5.499 -1.864 3.149
5.406 -1.864 6.278
10.602 1.106 4.290
8.723 -2.649 4.627
11.400 -1.106 1.148
3.250 0.370 3.943
4.049 -0.370 0.800
7.655 0.370 5.485
8.453 -0.370 2.342
```

=====

ii.
Below is an optimized crystal structure of DyHo6Sc2, with properties calculated at the PBE level.

Cell and atoms, written as POSCAR:
```
DyHo6Sc2
1.0
6.551 -5.679 0.000
6.551 5.679 0.000
-5.033 0.000 7.194
Dy Ho Sc
2 12 4
Cartesian
2.776 4.740 5.396
5.293 -4.740 1.799
2.020 1.029 0.914
1.590 1.710 4.236
-0.497 -1.029 4.511
5.382 1.359 0.096
5.205 1.359 3.501
4.107 -1.710 0.638
3.963 1.710 6.556
2.865 -1.359 3.693
2.688 -1.359 7.099
8.566 1.029 2.683
6.480 -1.710 2.959
6.050 -1.029 6.281
3.580 3.751 2.182
7.006 3.751 1.415
1.063 -3.751 5.780
4.489 -3.751 5.012
```

=====

On energetic grounds, ii is preferred over the next structure by 55 meV/atom.

=====

i.
Below is an optimized crystal structure of Dy5Ho4Sc, with properties calculated at the PBE level.

Cell and atoms, written as POSCAR:
```
Dy5Ho4Sc
1.0
8.696 -1.723 0.000
8.696 1.723 0.000
-3.155 0.000 10.345
Dy Ho Sc
5 4 1
Cartesian
0.000 0.000 0.000
2.260 0.000 9.318
6.184 0.000 2.216
8.054 0.000 8.129
11.978 0.000 1.027
1.574 0.000 6.023
4.914 0.000 7.138
9.323 0.000 3.207
12.664 0.000 4.322
-1.578 0.000 5.172
```

=====

ii.
Below is an optimized crystal structure of Dy5Ho4Sc, with properties calculated at the PBE level.

Cell and atoms, written as POSCAR:
```
Dy5Ho4Sc
1.0
-5.258 5.258 2.865
5.258 -5.258 2.865
5.258 5.258 -2.865
Dy Ho Sc
5 4 1
Cartesian
0.000 0.000 0.000
3.295 3.295 -1.235
1.963 -1.963 1.630
-1.963 1.963 1.630
1.963 1.963 1.630
5.258 -1.859 1.569
5.258 1.859 1.569
-1.859 5.258 1.569
1.859 5.258 1.569
0.000 0.000 3.048
```

=====

On energetic grounds, i is preferred over the next structure by 128 meV/atom.

=====

i.
Below is an optimized crystal structure of DyHo2Sc, with properties calculated at the PBE level.

Cell and atoms, written as POSCAR:
```
DyHo2Sc
1.0
3.025 -1.746 0.000
3.025 1.746 0.000
-2.019 0.000 11.169
Dy Ho Sc
1 2 1
Cartesian
0.000 0.000 0.000
2.011 0.000 2.917
2.013 0.000 8.276
4.027 0.000 5.613
```

=====

ii.
Below is an optimized crystal structure of DyHo2Sc, with properties calculated at the PBE level.

Cell and atoms, written as POSCAR:
```
DyHo2Sc
1.0
3.480 0.000 0.000
0.000 3.480 0.000
0.000 0.000 9.712
Dy Ho Sc
1 2 1
Cartesian
0.000 0.000 0.000
1.740 1.740 2.530
1.740 1.740 7.181
0.000 0.000 4.856
```

=====

On energetic grounds, i is preferred over the next structure by 12 meV/atom.

=====

i.
Below is an optimized crystal structure of DyHo2Sc, with properties calculated at the PBE level.

Cell and atoms, written as POSCAR:
```
DyHo2Sc
1.0
1.738 1.003 11.233
-1.738 1.003 11.233
0.000 -2.007 11.233
Dy Ho Sc
1 2 1
Cartesian
0.000 0.000 0.000
0.000 0.000 8.324
0.000 0.000 25.375
0.000 0.000 16.849
```

=====

ii.
Below is an optimized crystal structure of DyHo2Sc, with properties calculated at the PBE level.

Cell and atoms, written as POSCAR:
```
DyHo2Sc
1.0
1.751 1.011 11.105
-1.751 1.011 11.105
0.000 -2.022 11.105
Dy Ho Sc
1 2 1
Cartesian
0.000 0.000 0.000
0.000 0.000 19.334
0.000 0.000 25.063
0.000 0.000 5.531
```

=====

iii.
Below is an optimized crystal structure of DyHo2Sc, with properties calculated at the PBE level.

Cell and atoms, written as POSCAR:
```
DyHo2Sc
1.0
0.000 3.903 3.903
3.903 0.000 3.903
3.903 3.903 0.000
Dy Ho Sc
1 2 1
Cartesian
0.000 0.000 0.000
1.951 1.951 1.951
5.854 5.854 5.854
3.903 3.903 3.903
```

=====

On energetic grounds, ii is preferred over the next structure by 11 meV/atom.

=====

i.
Below is an optimized crystal structure of Dy4Ho7Sc, with properties calculated at the PBE level.

Cell and atoms, written as POSCAR:
```
Dy4Ho7Sc
1.0
5.937 -2.876 0.000
5.937 2.876 0.000
-5.879 0.000 11.202
Dy Ho Sc
4 7 1
Cartesian
0.037 0.000 3.083
-1.518 0.000 9.340
7.514 0.000 1.862
5.958 0.000 8.120
-2.940 0.000 5.601
-4.261 0.000 11.120
0.098 0.000 6.438
3.881 0.000 2.233
2.114 0.000 8.969
5.897 0.000 4.765
10.257 0.000 0.083
2.998 0.000 5.601
```

=====

ii.
Below is an optimized crystal structure of Dy4Ho7Sc, with properties calculated at the PBE level.

Cell and atoms, written as POSCAR:
```
Dy4Ho7Sc
1.0
6.402 0.000 0.000
0.943 6.629 0.000
2.107 0.388 8.750
Dy Ho Sc
4 7 1
Cartesian
1.850 2.192 2.447
4.439 6.111 6.065
5.013 0.907 2.685
7.602 4.825 6.303
2.268 2.061 8.313
2.680 5.474 3.176
3.652 2.837 5.385
3.201 0.000 0.000
5.800 4.180 3.365
6.772 1.544 5.575
7.185 4.956 0.437
3.672 3.315 0.000
```

=====

On energetic grounds, ii is preferred over the next structure by 185 meV/atom.